A relaxed BeGaCuW crystal, computed with PBE-GGA.

```
BeGaCuW
1.0
0.0000 2.9625 2.9625
2.9625 0.0000 2.9625
2.9625 2.9625 0.0000
Ga W Be Cu
1 1 1 1
Direct
0.0000 0.0000 0.0000 Ga
0.5000 0.5000 0.5000 W
0.2500 0.2500 0.2500 Be
0.7500 0.7500 0.7500 Cu
```

VASP energy	-5.369	eV per atom
polymorph energy (0 for the lowest one)	0.35	eV per formula unit